A relaxed structure of Li2PrY2Bi2, computed with PBE.

Calculated values
total energy = -32.4 eV per cell
N(E_F) = 0.737 states/eV per atom
space group = No. 166
E_form = -0.44 eV/atom

a b c (Å): 9.542 9.542 9.542
angles (deg): 29.73 29.73 29.73
Fractional positions:
Li (0.086, 0.086, 0.086)
Li (0.914, 0.914, 0.914)
Pr (0.500, 0.500, 0.500)
Y (0.368, 0.368, 0.368)
Y (0.632, 0.632, 0.632)
Bi (0.238, 0.238, 0.238)
Bi (0.762, 0.762, 0.762)